{"formula": "YAgHg2", "functional": "GGA-PBE", "state": "relaxed", "n_ef_per_ev_cell": 2.39, "formation_energy_ev_per_fu": -1.0, "lattice_angstrom": [[3.549, 0.000, 0.000], [0.000, 3.562, 0.000], [0.000, 0.000, 7.199]], "species": ["Y", "Ag", "Hg", "Hg"], "fractional_positions": [[0.000, 0.000, 0.000], [0.000, 0.000, 0.500], [0.500, 0.500, 0.271], [0.500, 0.500, 0.729]]}